Record 1
Material: NbRuIN2
Method: DFT, PBE
State: relaxed

Computed properties:
The value obtained for the energy above the most stable polymorph in this dataset is 1.712 eV per formula unit. Its density of states at the Fermi level is 3.82 states/eV per cell. Its uncorrected formation energy is 1.3482 eV per atom.

CIF file:
```
data_NbRuIN2
_chemical_formula_sum 'Nb1 Ru1 I1 N2'
_cell_length_a 3.927
_cell_length_b 3.927
_cell_length_c 5.635
_cell_angle_alpha 90.00
_cell_angle_beta 90.00
_cell_angle_gamma 90.00
_space_group_name_H-M_alt 'P 4/m m m'
_space_group_IT_number 123
_space_group_name_Hall '-P 4 2'
loop_
_atom_site_label
_atom_site_fract_x
_atom_site_fract_y
_atom_site_fract_z
Nb1 0.000 0.000 0.000
Ru1 0.500 0.500 0.500
I1 0.500 0.500 0.000
N1 0.000 0.500 0.500
```

=====

Record 2
Material: NbSb2IN
Method: DFT, PBE
State: relaxed

Computed properties:
The value obtained for the energy above the most stable polymorph in this dataset is 0.000 eV per formula unit. Its density of states at the Fermi level is 3.07 states/eV per cell. Its uncorrected formation energy is 0.9454 eV per atom.

CIF file:
```
data_NbSb2IN
_chemical_formula_sum 'Nb1 Sb2 I1 N1'
_cell_length_a 4.745
_cell_length_b 4.745
_cell_length_c 4.681
_cell_angle_alpha 90.00
_cell_angle_beta 90.00
_cell_angle_gamma 90.00
_space_group_name_H-M_alt 'P 4/m m m'
_space_group_IT_number 123
_space_group_name_Hall '-P 4 2'
loop_
_atom_site_label
_atom_site_fract_x
_atom_site_fract_y
_atom_site_fract_z
Nb1 0.000 0.000 0.000
Sb1 0.000 0.500 0.500
I1 0.500 0.500 0.000
N1 0.500 0.500 0.500
```

=====

Record 3
Material: NbSb2IN
Method: DFT, PBE
State: relaxed

Computed properties:
The value obtained for the energy above the most stable polymorph in this dataset is 1.501 eV per formula unit. Its density of states at the Fermi level is 3.02 states/eV per cell. Its uncorrected formation energy is 1.2455 eV per atom.

CIF file:
```
data_NbSb2IN
_chemical_formula_sum 'Nb1 Sb2 I1 N1'
_cell_length_a 5.354
_cell_length_b 5.354
_cell_length_c 5.775
_cell_angle_alpha 90.00
_cell_angle_beta 90.00
_cell_angle_gamma 90.00
_space_group_name_H-M_alt 'P 4/m m m'
_space_group_IT_number 123
_space_group_name_Hall '-P 4 2'
loop_
_atom_site_label
_atom_site_fract_x
_atom_site_fract_y
_atom_site_fract_z
Nb1 0.000 0.000 0.000
Sb1 0.000 0.500 0.000
I1 0.000 0.000 0.500
N1 0.500 0.500 0.500
```